! Tl2SbAu3 PBE optimized geometry; values from VASP
! Distance to the lowest polymorph of the same formula, eV/f.u.: 0.281
! Magnetization, μB/f.u.: 0.00
! VASP energy, eV/cell: -36.82
&SYSTEM
  ibrav = 0, nat = 12, ntyp = 3
/
ATOMIC_SPECIES
Tl 204.38 Tl.upf
Sb 121.76 Sb.upf
Au 196.97 Au.upf
CELL_PARAMETERS angstrom
0.000 4.750 7.985
4.172 0.000 7.985
4.172 4.750 0.000
ATOMIC_POSITIONS angstrom
Tl 6.592 4.750 7.985
Tl 2.086 2.375 3.992
Tl 6.258 7.125 11.977
Tl 1.752 4.750 7.985
Sb 4.172 4.750 5.892
Sb 4.172 4.750 10.078
Au 4.172 2.115 6.589
Au 4.172 4.750 3.210
Au 4.172 2.115 9.380
Au 4.172 7.385 6.589
Au 4.172 4.750 12.760
Au 4.172 7.385 9.380